(1)
# TaReHg (PBE, optimized geometry)
# Calculated formation energy = 289 meV/atom
# Energy relative to the lowest polymorph listed for this composition = 0 meV per atom
# Energy = -7.91 eV per atom
# Calculated volume = 18.0 Å³/atom
# Magnetization = 0.00 Bohr magnetons per cell
data_TaReHg
_space_group_name_H-M_alt 'P 1'
_space_group_IT_number 1
_cell_length_a 5.275
_cell_length_b 5.275
_cell_length_c 5.275
_cell_angle_alpha 142.52
_cell_angle_beta 142.52
_cell_angle_gamma 54.05
loop_
_space_group_symop_operation_xyz
'x,y,z'
loop_
_atom_site_label
_atom_site_type_symbol
_atom_site_fract_x
_atom_site_fract_y
_atom_site_fract_z
Ta1 Ta 0.000 0.000 0.000
Re1 Re 0.629 0.629 0.000
Hg1 Hg 0.314 0.314 0.000

(2)
# NiAgW2 (PBE, optimized geometry)
# Calculated formation energy = 862 meV/atom
# Energy relative to the lowest polymorph listed for this composition = 607 meV per atom
# Energy = -7.77 eV per atom
# Calculated volume = 15.2 Å³/atom
# Magnetization = 0.00 Bohr magnetons per cell
data_NiAgW2
_space_group_name_H-M_alt 'P 1'
_space_group_IT_number 1
_cell_length_a 4.414
_cell_length_b 4.414
_cell_length_c 4.414
_cell_angle_alpha 60.00
_cell_angle_beta 60.00
_cell_angle_gamma 60.00
loop_
_space_group_symop_operation_xyz
'x,y,z'
loop_
_atom_site_label
_atom_site_type_symbol
_atom_site_fract_x
_atom_site_fract_y
_atom_site_fract_z
Ni1 Ni 0.000 0.000 0.000
Ag1 Ag 0.500 0.500 0.500
W1 W 0.250 0.250 0.250
W2 W 0.750 0.750 0.750

(3)
# Ac2Zn3Ga4Rh (PBE, optimized geometry)
# Calculated formation energy = -511 meV/atom
# Energy = -3.66 eV per atom
# Calculated volume = 20.9 Å³/atom
# Magnetization = 0.00 Bohr magnetons per cell
data_Ac2Zn3Ga4Rh
_space_group_name_H-M_alt 'P 1'
_space_group_IT_number 1
_cell_length_a 4.462
_cell_length_b 4.462
_cell_length_c 10.479
_cell_angle_alpha 90.00
_cell_angle_beta 90.00
_cell_angle_gamma 90.00
loop_
_space_group_symop_operation_xyz
'x,y,z'
loop_
_atom_site_label
_atom_site_type_symbol
_atom_site_fract_x
_atom_site_fract_y
_atom_site_fract_z
Ac1 Ac 0.000 0.500 0.243
Ac2 Ac 0.500 0.000 0.757
Zn1 Zn 0.000 0.000 0.000
Zn2 Zn 0.000 0.500 0.633
Zn3 Zn 0.500 0.000 0.367
Ga1 Ga 0.000 0.000 0.500
Ga2 Ga 0.000 0.500 0.880
Ga3 Ga 0.500 0.000 0.120
Ga4 Ga 0.500 0.500 0.500
Rh1 Rh 0.500 0.500 0.000

(4)
# Th2Zn16Ga (PBE, optimized geometry)
# Calculated formation energy = -212 meV/atom
# Energy = -2.23 eV per atom
# Calculated volume = 16.7 Å³/atom
# Magnetization = 0.00 Bohr magnetons per cell
data_Th2Zn16Ga
_space_group_name_H-M_alt 'P 1'
_space_group_IT_number 1
_cell_length_a 6.856
_cell_length_b 6.856
_cell_length_c 6.856
_cell_angle_alpha 83.50
_cell_angle_beta 83.50
_cell_angle_gamma 83.50
loop_
_space_group_symop_operation_xyz
'x,y,z'
loop_
_atom_site_label
_atom_site_type_symbol
_atom_site_fract_x
_atom_site_fract_y
_atom_site_fract_z
Th1 Th 0.000 0.000 0.000
Th2 Th 0.326 0.326 0.326
Zn1 Zn 0.014 0.014 0.501
Zn2 Zn 0.014 0.501 0.014
Zn3 Zn 0.157 0.666 0.666
Zn4 Zn 0.310 0.310 0.827
Zn5 Zn 0.310 0.827 0.310
Zn6 Zn 0.366 0.663 0.960
Zn7 Zn 0.366 0.960 0.663
Zn8 Zn 0.501 0.014 0.014
Zn9 Zn 0.663 0.366 0.960
Zn10 Zn 0.663 0.960 0.366
Zn11 Zn 0.666 0.157 0.666
Zn12 Zn 0.666 0.666 0.157
Zn13 Zn 0.761 0.761 0.761
Zn14 Zn 0.827 0.310 0.310
Zn15 Zn 0.960 0.366 0.663
Zn16 Zn 0.960 0.663 0.366
Ga1 Ga 0.563 0.563 0.563

Which of these has the lowest calculated formation energy? Ac2Zn3Ga4Rh